Crystalline ErMgAgSn at its relaxed geometry, computed with PBE.

abc: 7.1486 7.1486 7.1486
angles: 90.00 90.00 90.00
Closest atoms and distances in Å follow each position.
Space group F-43m (No. 216)
Unique sites:
Er 0.0000 0.0000 0.0000 x4  4 Ag 3.10, 4 Sn 3.10
Mg 0.0000 0.0000 0.5000 x4  4 Sn 3.10, 4 Ag 3.10
Ag 0.2500 0.2500 0.7500 x4  4 Mg 3.10, 4 Er 3.10
Sn 0.2500 0.2500 0.2500 x4  4 Er 3.10, 4 Mg 3.10

Properties
- Energy relative to the elements: -0.381 eV per atom
- DOS at the Fermi energy: 0.37 states/eV per atom
- Crystal system: cubic


Crystalline SrErMgAg at its relaxed geometry, computed with PBE.

abc: 7.6850 7.6850 7.6850
angles: 90.00 90.00 90.00
Closest atoms and distances in Å follow each position.
Space group F-43m (No. 216)
Unique sites:
Sr 0.0000 0.0000 0.0000 x4  4 Mg 3.33, 4 Ag 3.33
Er 0.0000 0.0000 0.5000 x4  4 Mg 3.33, 4 Ag 3.33
Mg 0.2500 0.2500 0.2500 x4  4 Er 3.33, 4 Sr 3.33
Ag 0.2500 0.2500 0.7500 x4  4 Sr 3.33, 4 Er 3.33

Properties
- Energy relative to the elements: -0.061 eV per atom
- DOS at the Fermi energy: 0.60 states/eV per atom
- Crystal system: cubic


Crystalline TbErMgAg at its relaxed geometry, computed with PBE.

abc: 3.7177 3.7177 7.2977
angles: 90.00 90.00 90.00
Closest atoms and distances in Å follow each position.
Space group P4mm (No. 99)
Unique sites:
Tb 0.0000 0.0000 0.0000 x1  4 Ag 3.19, 4 Mg 3.25, 1 Er 3.52
Er 0.0000 0.0000 0.4818 x1  4 Ag 3.13, 4 Mg 3.22
Mg 0.5000 0.5000 0.7375 x1  4 Er 3.22, 4 Tb 3.25, 1 Ag 3.57
Ag 0.5000 0.5000 0.2482 x1  4 Er 3.13, 4 Tb 3.19

Properties
- Energy relative to the elements: -0.187 eV per atom
- Energy relative to the lowest polymorph listed for this composition: 0 meV per atom
- DOS at the Fermi energy: 0.99 states/eV per atom
- Crystal system: tetragonal


Crystalline TbErMgAg at its relaxed geometry, computed with PBE.

abc: 7.4002 7.4002 7.4002
angles: 90.00 90.00 90.00
Closest atoms and distances in Å follow each position.
Space group F-43m (No. 216)
Unique sites:
Tb 0.0000 0.0000 0.0000 x4  4 Ag 3.20, 4 Mg 3.20
Er 0.0000 0.0000 0.5000 x4  4 Mg 3.20, 4 Ag 3.20
Mg 0.2500 0.2500 0.2500 x4  4 Tb 3.20, 4 Er 3.20
Ag 0.2500 0.2500 0.7500 x4  4 Tb 3.20, 4 Er 3.20

Properties
- Energy relative to the elements: -0.145 eV per atom
- Energy relative to the lowest polymorph listed for this composition: 42 meV per atom
- DOS at the Fermi energy: 1.03 states/eV per atom
- Crystal system: cubic


Crystalline Er2MgAg3Te6 at its relaxed geometry, computed with PBE.

abc: 20.5377 4.2324 8.1384
angles: 90.00 101.77 90.00
Closest atoms and distances in Å follow each position.
Space group C2/m (No. 12)
Unique sites:
Er 0.1753 0.0000 0.3281 x4  6 Te 3.05-3.13
Mg 0.0000 0.5000 0.0000 x2  6 Te 2.97-3.02
Ag 0.0000 0.5000 0.5000 x2  4 Te 2.90
Ag 0.2104 0.0000 0.8653 x4  5 Te 2.86-3.05
Te 0.0198 0.0000 0.2709 x4  2 Ag 2.90, 2 Mg 3.02, 1 Er 3.13
Te 0.1473 0.5000 0.0522 x4  3 Ag 2.86-3.05, 1 Mg 2.97, 2 Er 3.05
Te 0.1722 0.5000 0.5979 x4  2 Ag 3.02, 3 Er 3.06-3.07

Properties
- Energy relative to the elements, uncorrected: -0.662 eV/atom
- DOS at the Fermi energy: 0.35 states/eV per atom
- Crystal system: monoclinic


Crystalline ErTmMgAg at its relaxed geometry, computed with PBE.

abc: 3.6915 3.6915 7.2470
angles: 90.00 90.00 90.00
Closest atoms and distances in Å follow each position.
Space group P4mm (No. 99)
Unique sites:
Er 0.0000 0.0000 0.0000 x1  4 Ag 3.14, 4 Mg 3.23, 1 Tm 3.47
Tm 0.0000 0.0000 0.4789 x1  4 Ag 3.12, 4 Mg 3.22, 1 Er 3.47
Mg 0.5000 0.5000 0.7381 x1  4 Tm 3.22, 4 Er 3.23, 1 Ag 3.60
Ag 0.5000 0.5000 0.2420 x1  4 Tm 3.12, 4 Er 3.14

Properties
- Energy relative to the elements: -0.186 eV per atom
- Energy relative to the lowest polymorph listed for this composition: 0 meV per atom
- DOS at the Fermi energy: 0.96 states/eV per atom
- Crystal system: tetragonal


| no. | total magnetic moment (μB per cell) | calculated volume (Å³ per cell) |
| --- | --- | --- |
| 1 | 0.00 | 365.30 |
| 2 | 0.00 | 453.86 |
| 3 | 0.00 | 100.86 |
| 4 | 0.00 | 405.26 |
| 5 | 0.00 | 692.54 |
| 6 | 0.00 | 98.76 |